VASP calculation (GGA-PBE) on a relaxed structure of LaTl3Au.

The structure in POSCAR format:
```
LaTl3Au
1.0
5.456 0.000 0.000
0.000 5.456 0.000
0.000 0.000 5.456
La Tl Au
1 3 1
Direct
0.000 0.000 0.000
0.000 0.500 0.500
0.500 0.000 0.500
0.500 0.500 0.000
0.500 0.500 0.500
```

Results
As for the volume: 32.476 Å³/atom. The calculation puts the relative energy among the computed polymorphs at 0.0 meV per atom. As for the density of states at the Fermi level: 5.3 states/eV/cell. The value obtained for the magnetization is 0.00 μB per formula unit. As for the space-group type: No. 221. Its total energy is -14.8 eV for the cell shown. The formation energy from the elements is 0.108 eV/atom.